[1]
Here is a geometry-optimized Hg2RuW structure from the Alexandria database. Energies are from GGA-PBE. Values from VASP.

Geometry as Quantum ESPRESSO input:
```
&SYSTEM
  ibrav = 0, nat = 8, ntyp = 3
/
ATOMIC_SPECIES
W 183.84 W.upf
Hg 200.59 Hg.upf
Ru 101.07 Ru.upf
ATOMIC_POSITIONS angstrom
W 0.000 0.000 0.000
W 7.567 3.783 1.359
Hg 1.929 5.675 0.679
Hg 5.638 1.892 0.679
Hg 5.675 5.712 2.038
Hg 9.459 9.421 2.038
Ru 3.783 3.783 0.000
Ru 3.783 7.567 1.359
CELL_PARAMETERS angstrom
7.567 0.000 0.000
0.000 7.567 0.000
3.783 3.783 2.717
```

Output
- Space-group type: I-42d, No. 122
- Magnetization: 0.00 Bohr magnetons per cell
- Offset from the most stable computed form: 962 meV per atom


[2]
Here is a geometry-optimized Hg2RuW structure from the Alexandria database. Energies are from GGA-PBE. Values from VASP.

Geometry as Quantum ESPRESSO input:
```
&SYSTEM
  ibrav = 0, nat = 4, ntyp = 3
/
ATOMIC_SPECIES
W 183.84 W.upf
Ru 101.07 Ru.upf
Hg 200.59 Hg.upf
ATOMIC_POSITIONS angstrom
W -15.406 -9.491 -14.325
Ru -9.976 -6.145 -9.276
Hg -4.893 -3.014 -4.550
Hg -0.153 -0.094 -0.143
CELL_PARAMETERS angstrom
-7.361 -2.635 -6.657
-5.508 -4.822 -7.201
-7.417 -5.039 -5.005
```

Output
- Space-group type: R3m, No. 160
- Magnetization: 0.14 Bohr magnetons per cell
- Offset from the most stable computed form: 57 meV per atom


[3]
Here is a geometry-optimized HgRu2W2 structure from the Alexandria database. Energies are from GGA-PBE. Values from VASP.

Geometry as Quantum ESPRESSO input:
```
&SYSTEM
  ibrav = 0, nat = 5, ntyp = 3
/
ATOMIC_SPECIES
Hg 200.59 Hg.upf
Ru 101.07 Ru.upf
W 183.84 W.upf
ATOMIC_POSITIONS angstrom
Hg 0.000 0.000 0.000
Ru 2.074 2.074 1.253
Ru 4.149 4.149 4.124
W 2.074 4.149 2.688
W 4.149 2.074 2.688
CELL_PARAMETERS angstrom
4.149 0.000 0.000
0.000 4.149 0.000
2.074 2.074 5.377
```

Output
- Space-group type: I4/mmm, No. 139
- Magnetization: 0.00 Bohr magnetons per cell


| no. | density (g/cm3) | energy of formation (eV/atom) |
| --- | --- | --- |
| 1 | 14.6 | 1.287 |
| 2 | 15.3 | 0.382 |
| 3 | 13.8 | 0.474 |